# 1
UAuBr6 | PBE | optimized geometry

SG = C2/m (12)
raw formation energy = -0.9003 eV per atom

a b c (Å): 7.7401 12.4460 7.4154
angles (deg): 90.00 119.91 90.00
Sites, in units of the cell vectors:
U 0.0000 0.0000 0.0000
U 0.5000 0.5000 0.0000
Au 0.0000 0.0000 0.5000
Au 0.5000 0.5000 0.5000
Br 0.0097 0.1616 0.2572
Br 0.0097 0.8384 0.2572
Br 0.1042 0.5000 0.8054
Br 0.3958 0.0000 0.1946
Br 0.4903 0.3384 0.7428
Br 0.4903 0.6616 0.7428
Br 0.5097 0.3384 0.2572
Br 0.5097 0.6616 0.2572
Br 0.6042 0.0000 0.8054
Br 0.8958 0.5000 0.1946
Br 0.9903 0.1616 0.7428
Br 0.9903 0.8384 0.7428

---

# 2
La3Ga2Ni6 | PBE | optimized geometry

formation energy = -4.8 eV/f.u.
SG = Im-3m (229)

a b c (Å): 7.9135 7.9135 7.9135
angles (deg): 109.47 109.47 109.47
Sites, in units of the cell vectors:
La 0.0000 0.2891 0.2891
La 0.0000 0.7109 0.7109
La 0.2891 0.0000 0.2891
La 0.2891 0.2891 0.0000
La 0.7109 0.0000 0.7109
La 0.7109 0.7109 0.0000
Ga 0.0000 0.0000 0.5000
Ga 0.0000 0.5000 0.0000
Ga 0.5000 0.0000 0.0000
Ga 0.5000 0.5000 0.5000
Ni 0.0000 0.3379 0.6621
Ni 0.0000 0.6621 0.3379
Ni 0.3242 0.6621 0.6621
Ni 0.3379 0.0000 0.6621
Ni 0.3379 0.3379 0.6758
Ni 0.3379 0.6621 0.0000
Ni 0.3379 0.6758 0.3379
Ni 0.6621 0.0000 0.3379
Ni 0.6621 0.3242 0.6621
Ni 0.6621 0.3379 0.0000
Ni 0.6621 0.6621 0.3242
Ni 0.6758 0.3379 0.3379

---

# 3
NaS2Cl | PBE | optimized geometry

offset from the most stable computed form = 3.64 eV per formula unit
SG = R-3m (166)
raw formation energy = 0.1471 eV per atom

a b c (Å): 3.6194 3.6194 24.8576
angles (deg): 90.00 90.00 120.00
Sites, in units of the cell vectors:
Na 0.0000 0.0000 0.0000
Na 0.3333 0.6667 0.6667
Na 0.6667 0.3333 0.3333
S 0.0000 0.0000 0.4101
S 0.0000 0.0000 0.5899
S 0.3333 0.6667 0.0768
S 0.3333 0.6667 0.2566
S 0.6667 0.3333 0.7434
S 0.6667 0.3333 0.9232
Cl 0.0000 0.0000 0.5000
Cl 0.3333 0.6667 0.1667
Cl 0.6667 0.3333 0.8333

---

# 4
As2IrSe | PBE | optimized geometry

SG = Cmmm (65)
raw formation energy = 0.2777 eV per atom

a b c (Å): 2.8863 4.8888 10.9407
angles (deg): 90.00 90.00 90.00
Sites, in units of the cell vectors:
As 0.0000 0.0000 0.1990
As 0.0000 0.0000 0.8010
As 0.5000 0.5000 0.1990
As 0.5000 0.5000 0.8010
Ir 0.0000 0.5000 0.0000
Ir 0.5000 0.0000 0.0000
Se 0.0000 0.5000 0.5000
Se 0.5000 0.0000 0.5000

---

# 5
PrGaSi | PBE | optimized geometry

SG = I4mm (107)
raw formation energy = -0.1959 eV per atom

a b c (Å): 4.2281 4.2281 8.3155
angles (deg): 90.00 90.00 90.00
Sites, in units of the cell vectors:
Pr 0.0000 0.0000 0.0000
Pr 0.5000 0.5000 0.5000
Ga 0.0000 0.0000 0.3515
Ga 0.5000 0.5000 0.8515
Si 0.0000 0.0000 0.6437
Si 0.5000 0.5000 0.1437

---

# 6
CaCd | PBE | optimized geometry

formation energy = -0.4 eV/f.u.
SG = Fd-3m (227)

a b c (Å): 7.4735 7.4735 7.4735
angles (deg): 90.00 90.00 90.00
Sites, in units of the cell vectors:
Ca 0.1250 0.1250 0.1250
Ca 0.1250 0.6250 0.6250
Ca 0.3750 0.3750 0.8750
Ca 0.3750 0.8750 0.3750
Ca 0.6250 0.1250 0.6250
Ca 0.6250 0.6250 0.1250
Ca 0.8750 0.3750 0.3750
Ca 0.8750 0.8750 0.8750
Cd 0.1250 0.1250 0.6250
Cd 0.1250 0.6250 0.1250
Cd 0.3750 0.3750 0.3750
Cd 0.3750 0.8750 0.8750
Cd 0.6250 0.1250 0.1250
Cd 0.6250 0.6250 0.6250
Cd 0.8750 0.3750 0.8750
Cd 0.8750 0.8750 0.3750

---

# 7
Cs2PmMnCl6 | PBE | optimized geometry

SG = Pmmn (59)
raw formation energy = -1.7459 eV per atom

a b c (Å): 7.5340 10.6636 7.5344
angles (deg): 90.00 90.00 90.00
Sites, in units of the cell vectors:
Cs 0.2500 0.0001 0.2501
Cs 0.2500 0.4999 0.2501
Cs 0.7500 0.9999 0.7499
Cs 0.7500 0.5001 0.7499
Pm 0.2500 0.2500 0.7504
Pm 0.7500 0.7500 0.2496
Mn 0.2500 0.7500 0.7497
Mn 0.7500 0.2500 0.2503
Cl 0.0082 0.7500 0.5077
Cl 0.0081 0.7500 0.9915
Cl 0.2500 0.5080 0.7500
Cl 0.2500 0.9920 0.7500
Cl 0.4918 0.7500 0.5077
Cl 0.4919 0.7500 0.9915
Cl 0.5081 0.2500 0.0085
Cl 0.5082 0.2500 0.4923
Cl 0.7500 0.0080 0.2500
Cl 0.7500 0.4920 0.2500
Cl 0.9919 0.2500 0.0085
Cl 0.9918 0.2500 0.4923

---

# 8
Nd3Y2Sc | PBE | optimized geometry

formation energy = 0.2 eV/f.u.
offset from the most stable computed form = 0.00 eV per formula unit
SG = P-1 (2)

a b c (Å): 6.7526 6.7995 9.6020
angles (deg): 95.69 95.28 115.50
Sites, in units of the cell vectors:
Nd 0.0032 0.2670 0.0568
Nd 0.3202 0.0674 0.2732
Nd 0.3438 0.5936 0.3891
Nd 0.6562 0.4064 0.6109
Nd 0.6798 0.9326 0.7268
Nd 0.9968 0.7330 0.9432
Y 0.1521 0.9037 0.6086
Y 0.4790 0.2417 0.9442
Y 0.5210 0.7583 0.0558
Y 0.8479 0.0963 0.3914
Sc 0.1795 0.4257 0.7223
Sc 0.8205 0.5743 0.2777

---

# 9
CaTeCl2 | PBE | optimized geometry

offset from the most stable computed form = 3.83 eV per formula unit
SG = R-3m (166)
raw formation energy = -0.4998 eV per atom

a b c (Å): 3.8677 3.8677 31.8715
angles (deg): 90.00 90.00 120.00
Sites, in units of the cell vectors:
Ca 0.0000 0.0000 0.0000
Ca 0.3333 0.6667 0.6667
Ca 0.6667 0.3333 0.3333
Te 0.0000 0.0000 0.5000
Te 0.3333 0.6667 0.1667
Te 0.6667 0.3333 0.8333
Cl 0.0000 0.0000 0.0774
Cl 0.0000 0.0000 0.9226
Cl 0.3333 0.6667 0.5893
Cl 0.3333 0.6667 0.7440
Cl 0.6667 0.3333 0.2560
Cl 0.6667 0.3333 0.4107

---

# 10
TbMgRh2 | PBE | optimized geometry

formation energy = -2.8 eV/f.u.
SG = Fm-3m (225)

a b c (Å): 6.5818 6.5818 6.5818
angles (deg): 90.00 90.00 90.00
Sites, in units of the cell vectors:
Tb 0.0000 0.0000 0.0000
Tb 0.0000 0.5000 0.5000
Tb 0.5000 0.0000 0.5000
Tb 0.5000 0.5000 0.0000
Mg 0.0000 0.0000 0.5000
Mg 0.0000 0.5000 0.0000
Mg 0.5000 0.0000 0.0000
Mg 0.5000 0.5000 0.5000
Rh 0.2500 0.2500 0.2500
Rh 0.2500 0.2500 0.7500
Rh 0.2500 0.7500 0.2500
Rh 0.2500 0.7500 0.7500
Rh 0.7500 0.2500 0.2500
Rh 0.7500 0.2500 0.7500
Rh 0.7500 0.7500 0.2500
Rh 0.7500 0.7500 0.7500

---

# 11
TeSeCl | PBE | optimized geometry

offset from the most stable computed form = 0.31 eV per formula unit
SG = P4/mmm (123)
raw formation energy = -0.1471 eV per atom

a b c (Å): 4.0579 4.0579 5.3518
angles (deg): 90.00 90.00 90.00
Sites, in units of the cell vectors:
Te 0.0000 0.0000 0.0000
Se 0.5000 0.5000 0.0000
Cl 0.0000 0.0000 0.5000

---

# 12
B2AsIr | PBE | optimized geometry

formation energy = 0.8 eV/f.u.
SG = I-42d (122)

a b c (Å): 4.8115 4.8115 9.6766
angles (deg): 90.00 90.00 90.00
Sites, in units of the cell vectors:
B 0.2395 0.2500 0.1250
B 0.2500 0.7395 0.3750
B 0.2500 0.7605 0.8750
B 0.2605 0.2500 0.6250
B 0.7395 0.7500 0.6250
B 0.7500 0.2395 0.8750
B 0.7500 0.2605 0.3750
B 0.7605 0.7500 0.1250
As 0.0000 0.0000 0.5000
As 0.0000 0.5000 0.7500
As 0.5000 0.0000 0.2500
As 0.5000 0.5000 0.0000
Ir 0.0000 0.0000 0.0000
Ir 0.0000 0.5000 0.2500
Ir 0.5000 0.0000 0.7500
Ir 0.5000 0.5000 0.5000

---

no.,Fermi-level density of states (states/eV per atom),raw total energy (Ry/atom)
1,0.001,-0.292
2,0.660,-0.403
3,0.769,-0.199
4,0.518,-0.377
5,0.614,-0.339
6,0.313,-0.123
7,0.346,-0.325
8,1.657,-0.409
9,0.473,-0.199
10,0.595,-0.436
11,0.334,-0.218
12,0.001,-0.479